# 1
# Na3CuIr (GGA-PBE, relaxed)
# Calculated total energy: -11.88 eV per cell
# Magnetic moment: 1.00 μB per formula unit
# Calculated density: 3.23 g/cm3
# ΔE to the lowest computed polymorph: 0 meV/atom
# DFT formation energy: 1.007 eV per atom
# Space group: No. 221
data_Na3CuIr
_cell_length_a 5.504
_cell_length_b 5.504
_cell_length_c 5.504
_cell_angle_alpha 90.00
_cell_angle_beta 90.00
_cell_angle_gamma 90.00
_symmetry_space_group_name_H-M 'P 1'
_symmetry_Int_Tables_number 1
_symmetry_space_group_name_Hall 'P 1'
loop_
_atom_site_label
_atom_site_fract_x
_atom_site_fract_y
_atom_site_fract_z
Na1 0.000 0.500 0.000
Na2 0.000 0.000 0.500
Na3 0.500 0.000 0.000
Ir1 0.000 0.000 0.000
Cu1 0.500 0.500 0.500


# 2
# CaTl3Se (GGA-PBE, relaxed)
# Calculated total energy: -10.33 eV per cell
# Magnetic moment: 0.00 μB per formula unit
# Formation energy (no corrections): 450 meV/atom
# Calculated density: 5.89 g/cm3
# ΔE to the lowest computed polymorph: 368 meV/atom
# Space group: No. 221
data_CaTl3Se
_cell_length_a 5.911
_cell_length_b 5.911
_cell_length_c 5.911
_cell_angle_alpha 90.00
_cell_angle_beta 90.00
_cell_angle_gamma 90.00
_symmetry_space_group_name_H-M 'P 1'
_symmetry_Int_Tables_number 1
_symmetry_space_group_name_Hall 'P 1'
loop_
_atom_site_label
_atom_site_fract_x
_atom_site_fract_y
_atom_site_fract_z
Tl1 0.000 0.500 0.000
Tl2 0.000 0.000 0.500
Tl3 0.500 0.000 0.000
Ca1 0.000 0.000 0.000
Se1 0.500 0.500 0.500


# 3
# Cs2GaP (GGA-PBE, relaxed)
# Calculated total energy: -16.35 eV per cell
# Magnetic moment: 0.00 μB per formula unit
# Calculated density: 3.74 g/cm3
# ΔE to the lowest computed polymorph: 774 meV/atom
# DFT formation energy: 0.492 eV per atom
# Space group: No. 122
data_Cs2GaP
_cell_length_a 5.289
_cell_length_b 5.289
_cell_length_c 12.215
_cell_angle_alpha 77.50
_cell_angle_beta 77.50
_cell_angle_gamma 90.00
_symmetry_space_group_name_H-M 'P 1'
_symmetry_Int_Tables_number 1
_symmetry_space_group_name_Hall 'P 1'
loop_
_atom_site_label
_atom_site_fract_x
_atom_site_fract_y
_atom_site_fract_z
Cs1 0.625 0.125 0.250
Cs2 0.125 0.625 0.250
Cs3 0.375 0.375 0.750
Cs4 0.875 0.875 0.750
P1 0.500 0.500 0.000
P2 0.250 0.750 0.500
Ga1 0.000 0.000 0.000
Ga2 0.750 0.250 0.500


# 4
# Sr7Pb (GGA-PBE, relaxed)
# Calculated total energy: -15.96 eV per cell
# Magnetic moment: 0.00 μB per formula unit
# Calculated density: 3.54 g/cm3
# DFT formation energy: -0.060 eV per atom
# Space group: No. 225
data_Sr7Pb
_cell_length_a 8.165
_cell_length_b 8.165
_cell_length_c 8.165
_cell_angle_alpha 60.00
_cell_angle_beta 60.00
_cell_angle_gamma 60.00
_symmetry_space_group_name_H-M 'P 1'
_symmetry_Int_Tables_number 1
_symmetry_space_group_name_Hall 'P 1'
loop_
_atom_site_label
_atom_site_fract_x
_atom_site_fract_y
_atom_site_fract_z
Sr1 0.500 0.000 0.000
Sr2 0.500 0.500 0.000
Sr3 0.500 0.000 0.500
Sr4 0.000 0.500 0.500
Sr5 0.000 0.000 0.500
Sr6 0.000 0.500 0.000
Sr7 0.500 0.500 0.500
Pb1 0.000 0.000 0.000